(1)
DFT (meta-GGA SCAN) results for a crystal of La2CdOs relaxed with PBEsol.

- ΔE_f (eV per atom) = -0.241
- E (eV per cell) = -189.5
- V (Å³/cell) = 101
- spin magnetization (Bohr magnetons per cell) = 0.0

Cell: 3.429 3.429 8.603 Å, 90.00 90.00 90.00°
Sites, in units of the cell vectors:
La  0.000  0.000  0.206
La  0.000  0.000  0.794
Cd  0.500  0.500  0.500
Os  0.500  0.500  0.000


(2)
DFT (meta-GGA SCAN) results for a crystal of BePH3O5 relaxed with PBEsol.

- E (eV per cell) = -303.6
- V (Å³/cell) = 366
- spin magnetization (Bohr magnetons per cell) = 0.0

Cell: 8.512 8.636 4.977 Å, 90.00 90.00 90.00°
Sites, in units of the cell vectors:
Be  0.178  0.090  0.000
Be  0.322  0.590  0.500
Be  0.678  0.410  0.000
Be  0.822  0.910  0.500
P  0.189  0.914  0.495
P  0.311  0.414  0.995
P  0.689  0.586  0.495
P  0.811  0.086  0.995
H  0.001  0.233  0.737
H  0.104  0.389  0.643
H  0.105  0.615  0.138
H  0.395  0.115  0.638
H  0.396  0.889  0.143
H  0.499  0.733  0.237
H  0.501  0.267  0.737
H  0.604  0.111  0.643
H  0.605  0.885  0.138
H  0.895  0.385  0.638
H  0.896  0.611  0.143
H  0.999  0.767  0.237
O  0.000  0.324  0.607
O  0.000  0.676  0.107
O  0.010  0.904  0.475
O  0.239  0.260  0.067
O  0.243  0.040  0.698
O  0.249  0.464  0.712
O  0.251  0.964  0.212
O  0.257  0.540  0.198
O  0.261  0.760  0.567
O  0.490  0.404  0.975
O  0.500  0.176  0.607
O  0.500  0.824  0.107
O  0.510  0.596  0.475
O  0.739  0.240  0.067
O  0.743  0.460  0.698
O  0.749  0.036  0.712
O  0.751  0.536  0.212
O  0.757  0.960  0.198
O  0.761  0.740  0.567
O  0.990  0.096  0.975


(3)
DFT (meta-GGA SCAN) results for a crystal of La3GaAs relaxed with PBEsol.

- ΔE_f (eV per atom) = -0.546
- E (eV per cell) = -168.6
- V (Å³/cell) = 177
- spin magnetization (Bohr magnetons per cell) = 0.0

Cell: 5.611 5.611 5.611 Å, 90.00 90.00 90.00°
Sites, in units of the cell vectors:
La  0.000  0.000  0.500
La  0.000  0.500  0.000
La  0.500  0.000  0.000
Ga  0.500  0.500  0.500
As  0.000  0.000  0.000


(4)
DFT (meta-GGA SCAN) results for a crystal of Nb3PRu relaxed with PBEsol.

- ΔE_f (eV per atom) = 0.454
- E (eV per cell) = -142.3
- V (Å³/cell) = 92
- spin magnetization (Bohr magnetons per cell) = 0.0

Cell: 4.506 4.506 4.506 Å, 90.00 90.00 90.00°
Sites, in units of the cell vectors:
Nb  0.000  0.000  0.500
Nb  0.000  0.500  0.000
Nb  0.500  0.000  0.000
P  0.000  0.000  0.000
Ru  0.500  0.500  0.500


(5)
DFT (meta-GGA SCAN) results for a crystal of BiBSeCl2 relaxed with PBEsol.

- E_form (uncorrected) (eV per atom) = 0.280
- E (eV per cell) = -120.6
- V (Å³/cell) = 99
- spin magnetization (Bohr magnetons per cell) = 0.0

Cell: 4.153 4.153 5.768 Å, 90.00 90.00 90.00°
Sites, in units of the cell vectors:
Bi  0.000  0.000  0.000
B  0.000  0.000  0.500
Se  0.500  0.500  0.000
Cl  0.000  0.500  0.500
Cl  0.500  0.000  0.500


(6)
DFT (meta-GGA SCAN) results for a crystal of MnSiTe2 relaxed with PBEsol.

- E_form (uncorrected) (eV per atom) = -0.060
- E (eV per cell) = -103.0
- V (Å³/cell) = 91
- spin magnetization (Bohr magnetons per cell) = 4.8

Cell: 6.961 6.961 6.961 Å, 33.31 33.31 33.31°
Sites, in units of the cell vectors:
Mn  0.000  0.000  0.000
Si  0.500  0.500  0.500
Te  0.251  0.251  0.251
Te  0.749  0.749  0.749


(7)
DFT (meta-GGA SCAN) results for a crystal of Mg2MoRh relaxed with PBEsol.

- ΔE_f (eV per atom) = 0.076
- E (eV per cell) = -78.3
- V (Å³/cell) = 64
- spin magnetization (Bohr magnetons per cell) = 0.0

Cell: 5.428 5.428 5.428 Å, 149.12 128.39 61.37°
Sites, in units of the cell vectors:
Mg  0.233  0.233  0.000
Mg  0.767  0.767  0.000
Mo  0.500  0.000  0.500
Rh  0.000  0.500  0.500


(8)
DFT (meta-GGA SCAN) results for a crystal of AlHgPd2 relaxed with PBEsol.

- ΔE_f (eV per atom) = -0.167
- E (eV per cell) = -284.3
- V (Å³/cell) = 139
- spin magnetization (Bohr magnetons per cell) = 0.0

Cell: 9.389 9.389 9.389 Å, 155.77 155.77 34.53°
Sites, in units of the cell vectors:
Al  0.000  0.000  0.000
Al  0.750  0.250  0.500
Hg  0.250  0.750  0.500
Hg  0.500  0.500  0.000
Pd  0.109  0.625  0.984
Pd  0.375  0.359  0.484
Pd  0.641  0.125  0.016
Pd  0.875  0.891  0.516


(9)
DFT (meta-GGA SCAN) results for a crystal of TmRu2 relaxed with PBEsol.

- ΔE_f (eV per atom) = -0.461
- E (eV per cell) = -491.5
- V (Å³/cell) = 201
- spin magnetization (Bohr magnetons per cell) = 0.0

Cell: 5.164 5.164 8.719 Å, 90.00 90.00 120.00°
Sites, in units of the cell vectors:
Tm  0.333  0.667  0.067
Tm  0.333  0.667  0.433
Tm  0.667  0.333  0.567
Tm  0.667  0.333  0.933
Ru  0.000  0.000  0.000
Ru  0.000  0.000  0.500
Ru  0.171  0.342  0.750
Ru  0.171  0.829  0.750
Ru  0.342  0.171  0.250
Ru  0.658  0.829  0.750
Ru  0.829  0.171  0.250
Ru  0.829  0.658  0.250


(10)
DFT (meta-GGA SCAN) results for a crystal of BeCd2Pt relaxed with PBEsol.

- ΔE_f (eV per atom) = 0.007
- E (eV per cell) = -135.3
- V (Å³/cell) = 64
- spin magnetization (Bohr magnetons per cell) = 0.0

Cell: 4.803 4.803 2.922 Å, 90.00 90.00 109.57°
Sites, in units of the cell vectors:
Be  0.000  0.000  0.000
Cd  0.000  0.500  0.500
Cd  0.500  0.000  0.500
Pt  0.500  0.500  0.000


(11)
DFT (meta-GGA SCAN) results for a crystal of InMoP4 relaxed with PBEsol.

- ΔE_f (eV per atom) = 0.890
- E (eV per cell) = -104.5
- V (Å³/cell) = 92
- spin magnetization (Bohr magnetons per cell) = 0.0

Cell: 5.060 5.060 5.060 Å, 60.00 60.00 60.00°
Sites, in units of the cell vectors:
In  0.000  0.000  0.000
Mo  0.250  0.250  0.250
P  0.134  0.622  0.622
P  0.622  0.134  0.622
P  0.622  0.622  0.134
P  0.622  0.622  0.622


(12)
DFT (meta-GGA SCAN) results for a crystal of NaReB2 relaxed with PBEsol.

- ΔE_f (eV per atom) = 1.193
- E (eV per cell) = -85.4
- V (Å³/cell) = 42
- spin magnetization (Bohr magnetons per cell) = 0.0

Cell: 3.914 3.914 3.914 Å, 60.00 60.00 60.00°
Sites, in units of the cell vectors:
Na  0.000  0.000  0.000
Re  0.500  0.500  0.500
B  0.250  0.250  0.250
B  0.750  0.750  0.750


(13)
DFT (meta-GGA SCAN) results for a crystal of Zr2Si relaxed with PBEsol.

- E_form (uncorrected) (eV per atom) = -0.229
- E (eV per cell) = -144.2
- V (Å³/cell) = 119
- spin magnetization (Bohr magnetons per cell) = 0.0

Cell: 12.631 12.631 12.631 Å, 167.11 164.61 20.13°
Sites, in units of the cell vectors:
Zr  0.306  0.056  0.250
Zr  0.442  0.192  0.250
Zr  0.558  0.808  0.750
Zr  0.694  0.944  0.750
Si  0.127  0.377  0.750
Si  0.873  0.623  0.250


(14)
DFT (meta-GGA SCAN) results for a crystal of BaZrO2F relaxed with PBEsol.

- E_form (uncorrected) (eV per atom) = -3.273
- E (eV per cell) = -102.6
- V (Å³/cell) = 76
- spin magnetization (Bohr magnetons per cell) = 0.0

Cell: 4.220 4.220 4.282 Å, 90.00 90.00 90.00°
Sites, in units of the cell vectors:
Ba  0.000  0.000  0.000
Zr  0.500  0.500  0.500
O  0.000  0.500  0.500
O  0.500  0.000  0.500
F  0.500  0.500  0.000


(15)
DFT (meta-GGA SCAN) results for a crystal of TlTcAs2 relaxed with PBEsol.

- ΔE_f (eV per atom) = 0.203
- E (eV per cell) = -294.0
- V (Å³/cell) = 212
- spin magnetization (Bohr magnetons per cell) = 0.0

Cell: 7.262 7.262 7.262 Å, 131.31 131.31 71.32°
Sites, in units of the cell vectors:
Tl  0.000  0.000  0.000
Tl  0.750  0.250  0.500
Tc  0.250  0.750  0.500
Tc  0.500  0.500  0.000
As  0.206  0.625  0.081
As  0.375  0.456  0.581
As  0.544  0.125  0.919
As  0.875  0.794  0.419


(16)
DFT (meta-GGA SCAN) results for a crystal of CaTi8S16 relaxed with PBEsol.

- E_form (uncorrected) (eV per atom) = -1.578
- E (eV per cell) = -331.4
- V (Å³/cell) = 487
- spin magnetization (Bohr magnetons per cell) = 0.0

Cell: 6.712 6.712 12.483 Å, 90.00 90.00 120.00°
Sites, in units of the cell vectors:
Ca  0.000  0.000  0.000
Ti  0.000  0.000  0.279
Ti  0.000  0.000  0.721
Ti  0.004  0.502  0.276
Ti  0.498  0.502  0.276
Ti  0.498  0.996  0.276
Ti  0.502  0.004  0.724
Ti  0.502  0.498  0.724
Ti  0.996  0.498  0.724
S  0.167  0.334  0.390
S  0.167  0.335  0.841
S  0.167  0.833  0.390
S  0.167  0.833  0.841
S  0.333  0.667  0.159
S  0.333  0.667  0.613
S  0.334  0.167  0.610
S  0.335  0.167  0.159
S  0.665  0.833  0.841
S  0.666  0.833  0.390
S  0.667  0.333  0.387
S  0.667  0.333  0.841
S  0.833  0.167  0.159
S  0.833  0.167  0.610
S  0.833  0.665  0.159
S  0.833  0.666  0.610


(17)
DFT (meta-GGA SCAN) results for a crystal of Y3TiAu relaxed with PBEsol.

- ΔE_f (eV per atom) = 0.467
- E (eV per cell) = -166.4
- V (Å³/cell) = 136
- spin magnetization (Bohr magnetons per cell) = 0.0

Cell: 5.138 5.138 5.138 Å, 90.00 90.00 90.00°
Sites, in units of the cell vectors:
Y  0.000  0.000  0.500
Y  0.000  0.500  0.000
Y  0.500  0.000  0.000
Ti  0.000  0.000  0.000
Au  0.500  0.500  0.500


(18)
DFT (meta-GGA SCAN) results for a crystal of Ba2SiSb relaxed with PBEsol.

- E_form (uncorrected) (eV per atom) = -0.488
- E (eV per cell) = -128.3
- V (Å³/cell) = 130
- spin magnetization (Bohr magnetons per cell) = 0.0

Cell: 3.708 4.677 7.469 Å, 90.00 90.00 90.00°
Sites, in units of the cell vectors:
Ba  0.000  0.000  0.236
Ba  0.000  0.000  0.764
Si  0.500  0.500  0.000
Sb  0.500  0.500  0.500


(19)
DFT (meta-GGA SCAN) results for a crystal of AgPb2 relaxed with PBEsol.

- ΔE_f (eV per atom) = 0.074
- E (eV per cell) = -182.7
- V (Å³/cell) = 74
- spin magnetization (Bohr magnetons per cell) = 0.0

Cell: 7.068 7.068 7.068 Å, 152.63 152.63 39.10°
Sites, in units of the cell vectors:
Ag  0.000  0.000  0.000
Pb  0.353  0.353  0.000
Pb  0.647  0.647  0.000


(20)
DFT (meta-GGA SCAN) results for a crystal of LiZnCu2 relaxed with PBEsol.

- ΔE_f (eV per atom) = -0.107
- E (eV per cell) = -46.7
- V (Å³/cell) = 48
- spin magnetization (Bohr magnetons per cell) = 0.0

Cell: 4.073 4.073 4.073 Å, 60.00 60.00 60.00°
Sites, in units of the cell vectors:
Li  0.000  0.000  0.000
Zn  0.750  0.750  0.750
Cu  0.250  0.250  0.250
Cu  0.500  0.500  0.500